# 1
# ZnCu3, optimized geometry, DFT PBE
data_ZnCu3
_chemical_formula_sum 'Zn1 Cu3'
_space_group_name_H-M_alt 'P -6 m 2'
_space_group_IT_number 187
_space_group_name_Hall 'P -6 2'
_cell_length_a 2.6143
_cell_length_b 2.6143
_cell_length_c 8.4447
_cell_angle_alpha 90.00
_cell_angle_beta 90.00
_cell_angle_gamma 120.00
loop_
_atom_site_label
_atom_site_type_symbol
_atom_site_fract_x
_atom_site_fract_y
_atom_site_fract_z
_atom_site_occupancy
Zn1 Zn 0.0000 0.0000 0.0000 1
Cu1 Cu 0.0000 0.0000 0.5000 1
Cu2 Cu 0.3333 0.6667 0.2552 1
# Calculated formation energy in eV/atom: -0.0054

# 2
# Zn2Cu, optimized geometry, DFT PBE
data_Zn2Cu
_chemical_formula_sum 'Zn4 Cu2'
_space_group_name_H-M_alt 'I 4/m m m'
_space_group_IT_number 139
_space_group_name_Hall '-I 4 2'
_cell_length_a 2.713
_cell_length_b 2.713
_cell_length_c 11.078
_cell_angle_alpha 90.00
_cell_angle_beta 90.00
_cell_angle_gamma 90.00
loop_
_atom_site_label
_atom_site_type_symbol
_atom_site_fract_x
_atom_site_fract_y
_atom_site_fract_z
_atom_site_occupancy
Zn1 Zn 0.000 0.000 0.161 1
Cu1 Cu 0.000 0.000 0.500 1
# Calculated formation energy in eV/atom: -0.0524

# 3
# Zn4Cu, optimized geometry, DFT PBE
data_Zn4Cu
_chemical_formula_sum 'Zn8 Cu2'
_space_group_name_H-M_alt 'C 1 m 1'
_space_group_IT_number 8
_cell_length_a 8.682
_cell_length_b 4.110
_cell_length_c 5.166
_cell_angle_alpha 90.00
_cell_angle_beta 125.17
_cell_angle_gamma 90.00
loop_
_space_group_symop_operation_xyz
'x,y,z'
'x,-y,z'
'x+1/2,y+1/2,z'
'x+1/2,-y+1/2,z'
loop_
_atom_site_label
_atom_site_type_symbol
_atom_site_fract_x
_atom_site_fract_y
_atom_site_fract_z
_atom_site_occupancy
Zn1 Zn 0.000 0.000 0.000 1
Zn2 Zn 0.063 0.000 0.559 1
Zn3 Zn 0.210 0.500 0.427 1
Zn4 Zn 0.356 0.000 0.233 1
Cu1 Cu 0.172 0.500 0.900 1
# Energy relative to the lowest polymorph listed for this composition in meV per atom: 22.2
# Calculated formation energy in eV/atom: -0.0012

# 4
# ZnCu2, optimized geometry, DFT PBE
data_ZnCu2
_chemical_formula_sum 'Zn4 Cu8'
_space_group_name_H-M_alt 'I 4/m c m'
_space_group_IT_number 140
_space_group_name_Hall '-I 4 2c'
_cell_length_a 5.676
_cell_length_b 5.676
_cell_length_c 4.989
_cell_angle_alpha 90.00
_cell_angle_beta 90.00
_cell_angle_gamma 90.00
loop_
_atom_site_label
_atom_site_type_symbol
_atom_site_fract_x
_atom_site_fract_y
_atom_site_fract_z
_atom_site_occupancy
Zn1 Zn 0.000 0.000 0.250 1
Cu1 Cu 0.152 0.348 0.000 1
# Calculated formation energy in eV/atom: 0.1105

# 5
# Zn3Cu2, optimized geometry, DFT PBE
data_Zn3Cu2
_chemical_formula_sum 'Zn24 Cu16'
_space_group_name_H-M_alt 'F d d 2'
_space_group_IT_number 43
_space_group_name_Hall 'F 2 -2d'
_cell_length_a 8.908
_cell_length_b 12.617
_cell_length_c 4.774
_cell_angle_alpha 90.00
_cell_angle_beta 90.00
_cell_angle_gamma 90.00
loop_
_atom_site_label
_atom_site_type_symbol
_atom_site_fract_x
_atom_site_fract_y
_atom_site_fract_z
_atom_site_occupancy
Zn1 Zn 0.000 0.000 0.000 1
Zn2 Zn 0.044 0.399 0.016 1
Cu1 Cu 0.025 0.299 0.552 1
# Energy relative to the lowest polymorph listed for this composition in meV per atom: 0.0
# Calculated formation energy in eV/atom: -0.0487

# 6
# Zn2Cu, optimized geometry, DFT PBE
data_Zn2Cu
_chemical_formula_sum 'Zn6 Cu3'
_space_group_name_H-M_alt 'R 3 m'
_space_group_IT_number 160
_space_group_name_Hall 'R 3 -2"'
_cell_length_a 2.7415
_cell_length_b 2.7415
_cell_length_c 18.9877
_cell_angle_alpha 90.00
_cell_angle_beta 90.00
_cell_angle_gamma 120.00
loop_
_atom_site_label
_atom_site_type_symbol
_atom_site_fract_x
_atom_site_fract_y
_atom_site_fract_z
_atom_site_occupancy
Zn1 Zn 0.0000 0.0000 0.0000 1
Zn2 Zn 0.0000 0.0000 0.2147 1
Cu1 Cu 0.0000 0.0000 0.7743 1
# Calculated formation energy in eV/atom: -0.0462

# 7
# ZnCu2, optimized geometry, DFT PBE
data_ZnCu2
_chemical_formula_sum 'Zn4 Cu8'
_space_group_name_H-M_alt 'P a -3'
_space_group_IT_number 205
_space_group_name_Hall '-P 2ac 2ab 3'
_cell_length_a 5.735
_cell_length_b 5.735
_cell_length_c 5.735
_cell_angle_alpha 90.00
_cell_angle_beta 90.00
_cell_angle_gamma 90.00
loop_
_atom_site_label
_atom_site_type_symbol
_atom_site_fract_x
_atom_site_fract_y
_atom_site_fract_z
_atom_site_occupancy
Zn1 Zn 0.000 0.000 0.000 1
Cu1 Cu 0.124 0.624 0.876 1
# Calculated formation energy in eV/atom: 0.4776

# 8
# ZnCu2, optimized geometry, DFT PBE
data_ZnCu2
_chemical_formula_sum 'Zn4 Cu8'
_space_group_name_H-M_alt 'C m m m'
_space_group_IT_number 65
_space_group_name_Hall '-C 2 2'
_cell_length_a 3.760
_cell_length_b 10.989
_cell_length_c 3.669
_cell_angle_alpha 90.00
_cell_angle_beta 90.00
_cell_angle_gamma 90.00
loop_
_atom_site_label
_atom_site_type_symbol
_atom_site_fract_x
_atom_site_fract_y
_atom_site_fract_z
_atom_site_occupancy
Zn1 Zn 0.000 0.163 0.000 1
Cu1 Cu 0.000 0.000 0.500 1
Cu2 Cu 0.000 0.335 0.500 1
Cu3 Cu 0.000 0.500 0.000 1
# Calculated formation energy in eV/atom: -0.0807

# 9
# ZnCu3, optimized geometry, DFT PBE
data_ZnCu3
_chemical_formula_sum 'Zn4 Cu12'
_space_group_name_H-M_alt 'P n m a'
_space_group_IT_number 62
_cell_length_a 4.463
_cell_length_b 8.527
_cell_length_c 5.240
_cell_angle_alpha 90.00
_cell_angle_beta 90.00
_cell_angle_gamma 90.00
loop_
_space_group_symop_operation_xyz
'x,y,z'
'-x,-y,-z'
'-x+1/2,-y,z+1/2'
'x+1/2,y,-z+1/2'
'x+1/2,-y+1/2,-z+1/2'
'-x+1/2,y+1/2,z+1/2'
'-x,y+1/2,-z'
'x,-y+1/2,z'
loop_
_atom_site_label
_atom_site_type_symbol
_atom_site_fract_x
_atom_site_fract_y
_atom_site_fract_z
_atom_site_occupancy
Zn1 Zn 0.092 0.250 0.117 1
Cu1 Cu 0.094 0.250 0.625 1
Cu2 Cu 0.248 0.000 0.374 1
# Calculated formation energy in eV/atom: -0.0535

# 10
# ZnCu2, optimized geometry, DFT PBE
data_ZnCu2
_chemical_formula_sum 'Zn4 Cu8'
_space_group_name_H-M_alt 'F m -3 m'
_space_group_IT_number 225
_space_group_name_Hall '-F 4 2 3'
_cell_length_a 5.668
_cell_length_b 5.668
_cell_length_c 5.668
_cell_angle_alpha 90.00
_cell_angle_beta 90.00
_cell_angle_gamma 90.00
loop_
_atom_site_label
_atom_site_type_symbol
_atom_site_fract_x
_atom_site_fract_y
_atom_site_fract_z
_atom_site_occupancy
Zn1 Zn 0.000 0.000 0.000 1
Cu1 Cu 0.250 0.250 0.250 1
# Calculated formation energy in eV/atom: 0.2703

# 11
# Zn7Cu2, optimized geometry, DFT PBE
data_Zn7Cu2
_chemical_formula_sum 'Zn7 Cu2'
_space_group_name_H-M_alt 'P -3 1 m'
_space_group_IT_number 162
_space_group_name_Hall '-P 3 2'
_cell_length_a 4.6787
_cell_length_b 4.6787
_cell_length_c 6.6901
_cell_angle_alpha 90.00
_cell_angle_beta 90.00
_cell_angle_gamma 120.00
loop_
_atom_site_label
_atom_site_type_symbol
_atom_site_fract_x
_atom_site_fract_y
_atom_site_fract_z
_atom_site_occupancy
Zn1 Zn 0.0000 0.0000 0.0000 1
Zn2 Zn 0.0000 0.3360 0.6754 1
Cu1 Cu 0.3333 0.6667 0.0000 1
# Calculated formation energy in eV/atom: -0.0031

# 12
# Zn2Cu, optimized geometry, DFT PBE
data_Zn2Cu
_chemical_formula_sum 'Zn4 Cu2'
_space_group_name_H-M_alt 'I m m m'
_space_group_IT_number 71
_space_group_name_Hall '-I 2 2'
_cell_length_a 2.899
_cell_length_b 3.295
_cell_length_c 8.517
_cell_angle_alpha 90.00
_cell_angle_beta 90.00
_cell_angle_gamma 90.00
loop_
_atom_site_label
_atom_site_type_symbol
_atom_site_fract_x
_atom_site_fract_y
_atom_site_fract_z
_atom_site_occupancy
Zn1 Zn 0.000 0.000 0.162 1
Cu1 Cu 0.000 0.000 0.500 1
# Calculated formation energy in eV/atom: -0.0590

# 13
# Zn3Cu11, optimized geometry, DFT PBE
data_Zn3Cu11
_chemical_formula_sum 'Zn6 Cu22'
_space_group_name_H-M_alt 'I m m m'
_space_group_IT_number 71
_space_group_name_Hall '-I 2 2'
_cell_length_a 3.947
_cell_length_b 9.275
_cell_length_c 9.960
_cell_angle_alpha 90.00
_cell_angle_beta 90.00
_cell_angle_gamma 90.00
loop_
_atom_site_label
_atom_site_type_symbol
_atom_site_fract_x
_atom_site_fract_y
_atom_site_fract_z
_atom_site_occupancy
Zn1 Zn 0.000 0.000 0.000 1
Zn2 Zn 0.000 0.285 0.000 1
Cu1 Cu 0.000 0.000 0.500 1
Cu2 Cu 0.000 0.142 0.265 1
Cu3 Cu 0.000 0.368 0.381 1
Cu4 Cu 0.000 0.500 0.155 1
# Calculated formation energy in eV/atom: 0.0710

# 14
# ZnCu3, optimized geometry, DFT PBE
data_ZnCu3
_chemical_formula_sum 'Zn6 Cu18'
_space_group_name_H-M_alt 'R -3 m'
_space_group_IT_number 166
_space_group_name_Hall '-R 3 2"'
_cell_length_a 6.5927
_cell_length_b 6.5927
_cell_length_c 8.6303
_cell_angle_alpha 90.00
_cell_angle_beta 90.00
_cell_angle_gamma 120.00
loop_
_atom_site_label
_atom_site_type_symbol
_atom_site_fract_x
_atom_site_fract_y
_atom_site_fract_z
_atom_site_occupancy
Zn1 Zn 0.0000 0.0000 0.1462 1
Cu1 Cu 0.0777 0.5388 0.2861 1
# Calculated formation energy in eV/atom: 0.1578

# 15
# ZnCu2, optimized geometry, DFT PBE
data_ZnCu2
_chemical_formula_sum 'Zn3 Cu6'
_space_group_name_H-M_alt 'P -6 2 m'
_space_group_IT_number 189
_space_group_name_Hall 'P -6 -2'
_cell_length_a 7.1102
_cell_length_b 7.1102
_cell_length_c 2.6121
_cell_angle_alpha 90.00
_cell_angle_beta 90.00
_cell_angle_gamma 120.00
loop_
_atom_site_label
_atom_site_type_symbol
_atom_site_fract_x
_atom_site_fract_y
_atom_site_fract_z
_atom_site_occupancy
Zn1 Zn 0.0000 0.0000 0.0000 1
Zn2 Zn 0.3333 0.6667 0.5000 1
Cu1 Cu 0.0000 0.3075 0.5000 1
Cu2 Cu 0.0000 0.6407 0.0000 1
# Calculated formation energy in eV/atom: -0.0438

# 16
# ZrZn2Cu, optimized geometry, DFT PBE
data_ZrZn2Cu
_chemical_formula_sum 'Zr3 Zn6 Cu3'
_space_group_name_H-M_alt 'R -3 m'
_space_group_IT_number 166
_space_group_name_Hall '-R 3 2"'
_cell_length_a 2.8576
_cell_length_b 2.8576
_cell_length_c 27.7849
_cell_angle_alpha 90.00
_cell_angle_beta 90.00
_cell_angle_gamma 120.00
loop_
_atom_site_label
_atom_site_type_symbol
_atom_site_fract_x
_atom_site_fract_y
_atom_site_fract_z
_atom_site_occupancy
Zr1 Zr 0.0000 0.0000 0.0000 1
Zn1 Zn 0.0000 0.0000 0.2407 1
Cu1 Cu 0.0000 0.0000 0.5000 1
# Calculated formation energy in eV/atom: 0.0231

# 17
# ZrZn3Cu, optimized geometry, DFT PBE
data_ZrZn3Cu
_chemical_formula_sum 'Zr4 Zn12 Cu4'
_space_group_name_H-M_alt 'P n m a'
_space_group_IT_number 62
_cell_length_a 8.063
_cell_length_b 3.797
_cell_length_c 10.505
_cell_angle_alpha 90.00
_cell_angle_beta 90.00
_cell_angle_gamma 90.00
loop_
_space_group_symop_operation_xyz
'x,y,z'
'-x,-y,-z'
'-x+1/2,-y,z+1/2'
'x+1/2,y,-z+1/2'
'x+1/2,-y+1/2,-z+1/2'
'-x+1/2,y+1/2,z+1/2'
'-x,y+1/2,-z'
'x,-y+1/2,z'
loop_
_atom_site_label
_atom_site_type_symbol
_atom_site_fract_x
_atom_site_fract_y
_atom_site_fract_z
_atom_site_occupancy
Zr1 Zr 0.171 0.250 0.000 1
Zn1 Zn 0.072 0.250 0.403 1
Zn2 Zn 0.098 0.750 0.210 1
Zn3 Zn 0.140 0.750 0.792 1
Cu1 Cu 0.124 0.250 0.630 1
# Energy relative to the lowest polymorph listed for this composition in meV per atom: 22.3
# Calculated formation energy in eV/atom: -0.1498

# 18
# ZrZn2Cu, optimized geometry, DFT PBE
data_ZrZn2Cu
_chemical_formula_sum 'Zr2 Zn4 Cu2'
_space_group_name_H-M_alt 'C 1 2/m 1'
_space_group_IT_number 12
_cell_length_a 8.548
_cell_length_b 2.988
_cell_length_c 5.295
_cell_angle_alpha 90.00
_cell_angle_beta 102.88
_cell_angle_gamma 90.00
loop_
_space_group_symop_operation_xyz
'x,y,z'
'-x,-y,-z'
'-x,y,-z'
'x,-y,z'
'x+1/2,y+1/2,z'
'-x+1/2,-y+1/2,-z'
'-x+1/2,y+1/2,-z'
'x+1/2,-y+1/2,z'
loop_
_atom_site_label
_atom_site_type_symbol
_atom_site_fract_x
_atom_site_fract_y
_atom_site_fract_z
_atom_site_occupancy
Zr1 Zr 0.000 0.000 0.000 1
Zn1 Zn 0.235 0.000 0.698 1
Cu1 Cu 0.000 0.500 0.500 1
# Calculated formation energy in eV/atom: -0.0642

# 19
# Zr3Zn2Cu4, optimized geometry, DFT PBE
data_Zr3Zn2Cu4
_chemical_formula_sum 'Zr6 Zn4 Cu8'
_space_group_name_H-M_alt 'C 1 2/m 1'
_space_group_IT_number 12
_cell_length_a 7.825
_cell_length_b 4.525
_cell_length_c 8.231
_cell_angle_alpha 90.00
_cell_angle_beta 90.12
_cell_angle_gamma 90.00
loop_
_space_group_symop_operation_xyz
'x,y,z'
'-x,-y,-z'
'-x,y,-z'
'x,-y,z'
'x+1/2,y+1/2,z'
'-x+1/2,-y+1/2,-z'
'-x+1/2,y+1/2,-z'
'x+1/2,-y+1/2,z'
loop_
_atom_site_label
_atom_site_type_symbol
_atom_site_fract_x
_atom_site_fract_y
_atom_site_fract_z
_atom_site_occupancy
Zr1 Zr 0.000 0.000 0.000 1
Zr2 Zr 0.167 0.500 0.599 1
Zn1 Zn 0.166 0.500 0.230 1
Cu1 Cu 0.001 0.000 0.655 1
Cu2 Cu 0.166 0.500 0.925 1
# Energy relative to the lowest polymorph listed for this composition in meV per atom: 54.8
# Calculated formation energy in eV/atom: -0.1472

# 20
# ZrZn2Cu, optimized geometry, DFT PBE
data_ZrZn2Cu
_chemical_formula_sum 'Zr1 Zn2 Cu1'
_space_group_name_H-M_alt 'P 1 m 1'
_space_group_IT_number 6
_cell_length_a 2.771
_cell_length_b 4.196
_cell_length_c 5.710
_cell_angle_alpha 90.00
_cell_angle_beta 103.56
_cell_angle_gamma 90.00
loop_
_space_group_symop_operation_xyz
'x,y,z'
'x,-y,z'
loop_
_atom_site_label
_atom_site_type_symbol
_atom_site_fract_x
_atom_site_fract_y
_atom_site_fract_z
_atom_site_occupancy
Zr1 Zr 0.000 0.000 0.000 1
Zn1 Zn 0.344 0.500 0.690 1
Zn2 Zn 0.726 0.000 0.483 1
Cu1 Cu 0.617 0.500 0.236 1
# Calculated formation energy in eV/atom: -0.1158

no.,raw total energy (Ha/atom),total magnetization (μB/f.u.)
1,-0.1248,0.00
2,-0.0833,0.00
3,-0.0676,0.00
4,-0.1119,0.00
5,-0.0901,0.00
6,-0.0831,0.00
7,-0.0984,0.00
8,-0.1189,0.00
9,-0.1266,0.00
10,-0.1060,0.00
11,-0.0700,0.00
12,-0.0836,0.00
13,-0.1257,0.00
14,-0.1188,0.00
15,-0.1176,0.00
16,-0.1387,0.00
17,-0.1265,0.00
18,-0.1419,0.00
19,-0.1874,0.00
20,-0.1438,0.00